HfPbBr2 PBE-GGA optimized geometry; M_tot = 0.00 μB/f.u.; D(E_F) = 0.2 states/eV/f.u.; ΔE_f (raw) = -0.6311 eV/atom; relative energy among the computed polymorphs = 0.000 eV/atom
1.0
1.702 0.983 11.785
-1.702 0.983 11.785
0.000 -1.966 11.785
Hf Pb Br
1 1 2
Direct
0.000 0.000 0.000
0.500 0.500 0.500
0.388 0.388 0.388
0.612 0.612 0.612

HfPbBr PBE-GGA optimized geometry; M_tot = 0.00 μB/f.u.; D(E_F) = 1.5 states/eV/f.u.; ΔE_f (raw) = -0.3029 eV/atom
1.0
8.652 -3.062 0.000
8.652 3.062 0.000
-7.248 0.000 9.753
Hf Pb Br
6 6 6
Direct
0.054 0.946 0.500
0.433 0.614 0.270
0.514 0.859 0.775
0.614 0.433 0.770
0.859 0.514 0.275
0.946 0.054 0.000
0.114 0.946 0.774
0.230 0.474 0.535
0.469 0.563 0.010
0.474 0.230 0.035
0.563 0.469 0.510
0.946 0.114 0.274
0.190 0.192 0.643
0.192 0.190 0.143
0.568 0.856 0.438
0.788 0.855 0.270
0.855 0.788 0.770
0.856 0.568 0.938

HfPbBr3 PBE-GGA optimized geometry; M_tot = 1.00 μB/f.u.; D(E_F) = 14.7 states/eV/f.u.; ΔE_f (raw) = 0.3532 eV/atom; relative energy among the computed polymorphs = 0.705 eV/atom
1.0
5.881 0.000 0.000
0.000 5.881 0.000
0.000 0.000 5.881
Hf Pb Br
1 1 3
Direct
0.000 0.000 0.000
0.500 0.500 0.500
0.000 0.500 0.500
0.500 0.000 0.500
0.500 0.500 0.000

HfPbBr2 PBE-GGA optimized geometry; M_tot = 0.00 μB/f.u.; D(E_F) = 3.2 states/eV/f.u.; ΔE_f (raw) = 0.1411 eV/atom; relative energy among the computed polymorphs = 0.772 eV/atom
1.0
0.000 3.634 3.634
3.634 0.000 3.634
3.634 3.634 0.000
Hf Pb Br
1 1 2
Direct
0.000 0.000 0.000
0.500 0.500 0.500
0.250 0.250 0.250
0.750 0.750 0.750

HfPbBr2 PBE-GGA optimized geometry; M_tot = 0.00 μB/f.u.; D(E_F) = 2.6 states/eV/f.u.; ΔE_f (raw) = -0.2390 eV/atom; relative energy among the computed polymorphs = 0.392 eV/atom
1.0
-4.595 4.595 2.976
4.595 -4.595 2.976
4.595 4.595 -2.976
Hf Pb Br
2 2 4
Direct
0.000 0.000 0.000
0.750 0.250 0.500
0.250 0.750 0.500
0.500 0.500 0.000
0.004 0.125 0.379
0.375 0.996 0.121
0.746 0.625 0.621
0.875 0.254 0.879

Hf2Pb2Br PBE-GGA optimized geometry; M_tot = 0.00 μB/f.u.; D(E_F) = 6.8 states/eV/f.u.; ΔE_f (raw) = 0.0156 eV/atom
1.0
7.569 0.000 0.000
0.000 7.569 0.000
0.000 0.000 4.344
Hf Pb Br
4 4 2
Direct
0.142 0.358 0.000
0.358 0.858 0.000
0.642 0.142 0.000
0.858 0.642 0.000
0.154 0.654 0.500
0.346 0.154 0.500
0.654 0.846 0.500
0.846 0.346 0.500
0.000 0.000 0.000
0.500 0.500 0.000

HfPbBr3 PBE-GGA optimized geometry; M_tot = 0.00 μB/f.u.; D(E_F) = 4.2 states/eV/f.u.; ΔE_f (raw) = -0.3518 eV/atom; relative energy among the computed polymorphs = 0.000 eV/atom
1.0
5.299 0.000 0.000
0.000 5.299 0.000
0.000 0.000 5.299
Hf Pb Br
1 1 3
Direct
0.000 0.000 0.000
0.500 0.500 0.500
0.000 0.000 0.500
0.000 0.500 0.000
0.500 0.000 0.000

HfPbSe2Br PBE-GGA optimized geometry; M_tot = 0.00 μB/f.u.; D(E_F) = 3.4 states/eV/f.u.; ΔE_f (raw) = -0.6447 eV/atom; relative energy among the computed polymorphs = 0.000 eV/atom
1.0
5.218 0.000 0.000
0.000 5.218 0.000
0.000 0.000 5.232
Hf Pb Se Br
1 1 2 1
Direct
0.000 0.000 0.000
0.500 0.500 0.500
0.000 0.500 0.000
0.500 0.000 0.000
0.000 0.000 0.500

HfPbSe2Br PBE-GGA optimized geometry; M_tot = 1.42 μB/f.u.; D(E_F) = 6.1 states/eV/f.u.; ΔE_f (raw) = 0.6309 eV/atom; relative energy among the computed polymorphs = 1.276 eV/atom
1.0
5.444 0.000 0.000
0.000 5.444 0.000
0.000 0.000 5.443
Hf Pb Se Br
1 1 2 1
Direct
0.000 0.000 0.000
0.500 0.500 0.500
0.000 0.500 0.500
0.500 0.000 0.500
0.500 0.500 0.000

YHf2PbBr PBE-GGA optimized geometry; M_tot = 0.00 μB/f.u.; D(E_F) = 1.9 states/eV/f.u.; ΔE_f (raw) = 0.4308 eV/atom
1.0
4.937 0.000 0.000
0.000 4.937 0.000
0.000 0.000 5.769
Y Hf Pb Br
1 2 1 1
Direct
0.000 0.000 0.000
0.000 0.500 0.500
0.500 0.000 0.500
0.500 0.500 0.000
0.500 0.500 0.500

HfZnPbBr2 PBE-GGA optimized geometry; M_tot = 0.00 μB/f.u.; D(E_F) = 3.6 states/eV/f.u.; ΔE_f (raw) = -0.1698 eV/atom
1.0
5.184 0.000 0.000
0.000 5.184 0.000
0.000 0.000 5.992
Hf Zn Pb Br
1 1 1 2
Direct
0.000 0.000 0.000
0.500 0.500 0.500
0.000 0.000 0.500
0.000 0.500 0.000
0.500 0.000 0.000

Hf2PdBr4 PBE-GGA optimized geometry; M_tot = 1.57 μB/f.u.; D(E_F) = 5.6 states/eV/f.u.; ΔE_f (raw) = 0.1104 eV/atom
1.0
-2.686 2.686 6.858
2.686 -2.686 6.858
2.686 2.686 -6.858
Hf Pd Br
2 1 4
Direct
0.097 0.097 0.000
0.903 0.903 0.000
0.500 0.500 0.000
0.000 0.500 0.500
0.289 0.289 0.000
0.500 0.000 0.500
0.711 0.711 0.000

HfPdBr2 PBE-GGA optimized geometry; M_tot = 0.00 μB/f.u.; D(E_F) = 1.8 states/eV/f.u.; ΔE_f (raw) = -0.0404 eV/atom; relative energy among the computed polymorphs = 0.347 eV/atom
1.0
0.000 3.385 3.385
3.385 0.000 3.385
3.385 3.385 0.000
Hf Pd Br
1 1 2
Direct
0.000 0.000 0.000
0.500 0.500 0.500
0.250 0.250 0.250
0.750 0.750 0.750

HfPdBr6 PBE-GGA optimized geometry; M_tot = 0.00 μB/f.u.; ΔE_f (raw) = -0.9531 eV/atom
1.0
3.937 -5.803 0.000
3.937 5.803 0.000
-1.350 0.000 6.712
Hf Pd Br
1 1 6
Direct
0.000 0.000 0.000
0.000 0.000 0.500
0.065 0.755 0.249
0.245 0.935 0.751
0.311 0.311 0.196
0.689 0.689 0.804
0.755 0.065 0.249
0.935 0.245 0.751

HfPdBr2 PBE-GGA optimized geometry; M_tot = 0.00 μB/f.u.; D(E_F) = 1.7 states/eV/f.u.; ΔE_f (raw) = -0.3876 eV/atom; relative energy among the computed polymorphs = 0.000 eV/atom
1.0
1.682 0.971 8.957
-1.682 0.971 8.957
0.000 -1.943 8.957
Hf Pd Br
1 1 2
Direct
0.000 0.000 0.000
0.500 0.500 0.500
0.406 0.406 0.406
0.594 0.594 0.594

Hf2PdBr PBE-GGA optimized geometry; M_tot = 0.00 μB/f.u.; D(E_F) = 2.6 states/eV/f.u.; ΔE_f (raw) = -0.1793 eV/atom; relative energy among the computed polymorphs = 0.000 eV/atom
1.0
0.000 3.380 3.380
3.380 0.000 3.380
3.380 3.380 0.000
Hf Pd Br
2 1 1
Direct
0.250 0.250 0.250
0.750 0.750 0.750
0.000 0.000 0.000
0.500 0.500 0.500

Hf2PdBr PBE-GGA optimized geometry; M_tot = 0.00 μB/f.u.; D(E_F) = 2.6 states/eV/f.u.; ΔE_f (raw) = 0.2624 eV/atom; relative energy among the computed polymorphs = 0.442 eV/atom
1.0
-2.806 2.806 6.839
2.806 -2.806 6.839
2.806 2.806 -6.839
Hf Pd Br
4 2 2
Direct
0.095 0.625 0.970
0.375 0.345 0.470
0.655 0.125 0.030
0.875 0.905 0.530
0.000 0.000 0.000
0.750 0.250 0.500
0.250 0.750 0.500
0.500 0.500 0.000

HfPdBr2 PBE-GGA optimized geometry; M_tot = 0.00 μB/f.u.; D(E_F) = 2.2 states/eV/f.u.; ΔE_f (raw) = -0.2694 eV/atom; relative energy among the computed polymorphs = 0.118 eV/atom
1.0
-4.854 4.854 2.570
4.854 -4.854 2.570
4.854 4.854 -2.570
Hf Pd Br
2 2 4
Direct
0.000 0.000 0.000
0.750 0.250 0.500
0.250 0.750 0.500
0.500 0.500 0.000
0.375 0.222 0.347
0.778 0.125 0.153
0.875 0.028 0.653
0.972 0.625 0.847

HfPdS2Br PBE-GGA optimized geometry; M_tot = 0.05 μB/f.u.; D(E_F) = 5.9 states/eV/f.u.; ΔE_f (raw) = -0.1076 eV/atom
1.0
4.771 0.000 0.000
0.000 4.771 0.000
0.000 0.000 5.706
Hf Pd S Br
1 1 2 1
Direct
0.000 0.000 0.000
0.000 0.000 0.500
0.000 0.500 0.000
0.500 0.000 0.000
0.500 0.500 0.500

HfPdSeBr2 PBE-GGA optimized geometry; M_tot = 1.25 μB/f.u.; D(E_F) = 5.0 states/eV/f.u.; ΔE_f (raw) = 0.3282 eV/atom; relative energy among the computed polymorphs = 0.609 eV/atom
1.0
4.951 0.000 0.000
0.000 4.951 0.000
0.000 0.000 5.112
Hf Pd Se Br
1 1 1 2
Direct
0.000 0.000 0.000
0.500 0.500 0.500
0.500 0.500 0.000
0.000 0.500 0.500
0.500 0.000 0.500

HfPdSeBr2 PBE-GGA optimized geometry; M_tot = 0.29 μB/f.u.; D(E_F) = 9.0 states/eV/f.u.; ΔE_f (raw) = -0.2811 eV/atom; relative energy among the computed polymorphs = 0.000 eV/atom
1.0
5.264 0.000 0.000
0.000 5.264 0.000
0.000 0.000 5.117
Hf Pd Se Br
1 1 1 2
Direct
0.000 0.000 0.000
0.500 0.500 0.500
0.000 0.000 0.500
0.000 0.500 0.000
0.500 0.000 0.000

HfZr2PdBr PBE-GGA optimized geometry; M_tot = 2.44 μB/f.u.; D(E_F) = 5.6 states/eV/f.u.; ΔE_f (raw) = 0.4669 eV/atom
1.0
5.197 0.000 0.000
0.000 5.197 0.000
0.000 0.000 5.023
Hf Zr Pd Br
1 2 1 1
Direct
0.000 0.000 0.000
0.000 0.500 0.500
0.500 0.000 0.500
0.000 0.000 0.500
0.500 0.500 0.000

PmHfBr PBE-GGA optimized geometry; M_tot = 0.00 μB/f.u.; D(E_F) = 3.2 states/eV/f.u.; ΔE_f (raw) = -0.4831 eV/atom
1.0
2.417 -2.417 0.000
2.417 2.417 0.000
-0.067 0.000 14.668
Pm Hf Br
2 2 2
Direct
0.000 0.000 0.000
0.503 0.503 0.205
0.498 0.498 0.838
0.996 0.996 0.700
0.005 0.005 0.334
0.494 0.494 0.582

HfPt3Br PBE-GGA optimized geometry; M_tot = 0.00 μB/f.u.; D(E_F) = 3.8 states/eV/f.u.; ΔE_f (raw) = 0.8882 eV/atom; relative energy among the computed polymorphs = 0.092 eV/atom
1.0
4.723 0.000 0.000
0.000 4.723 0.000
0.000 0.000 4.723
Hf Pt Br
1 3 1
Direct
0.000 0.000 0.000
0.000 0.500 0.500
0.500 0.000 0.500
0.500 0.500 0.000
0.500 0.500 0.500

HfPtBr3 PBE-GGA optimized geometry; M_tot = 0.00 μB/f.u.; D(E_F) = 5.6 states/eV/f.u.; ΔE_f (raw) = 0.1215 eV/atom; relative energy among the computed polymorphs = 0.000 eV/atom
1.0
5.196 0.000 0.000
0.000 5.196 0.000
0.000 0.000 5.196
Hf Pt Br
1 1 3
Direct
0.000 0.000 0.000
0.500 0.500 0.500
0.000 0.000 0.500
0.000 0.500 0.000
0.500 0.000 0.000

HfPtBr2 PBE-GGA optimized geometry; M_tot = 0.00 μB/f.u.; D(E_F) = 3.8 states/eV/f.u.; ΔE_f (raw) = 0.4345 eV/atom; relative energy among the computed polymorphs = 0.624 eV/atom
1.0
-3.242 3.242 4.947
3.242 -3.242 4.947
3.242 3.242 -4.947
Hf Pt Br
2 2 4
Direct
0.000 0.000 0.000
0.750 0.250 0.500
0.250 0.750 0.500
0.500 0.500 0.000
0.127 0.625 0.002
0.375 0.377 0.502
0.623 0.125 0.998
0.875 0.873 0.498

Hf2PtBr PBE-GGA optimized geometry; M_tot = 0.00 μB/f.u.; D(E_F) = 2.8 states/eV/f.u.; ΔE_f (raw) = -0.0439 eV/atom; relative energy among the computed polymorphs = 0.348 eV/atom
1.0
-2.858 2.858 6.747
2.858 -2.858 6.747
2.858 2.858 -6.747
Hf Pt Br
4 2 2
Direct
0.093 0.625 0.968
0.375 0.343 0.468
0.657 0.125 0.032
0.875 0.907 0.532
0.000 0.000 0.000
0.750 0.250 0.500
0.250 0.750 0.500
0.500 0.500 0.000